[1]
# DyCu9Ge2

A relaxed DyCu9Ge2 crystal (PBE, Alexandria via LeMat-Bulk).

It has space group R-3m (No. 166, hexagonal axes), with a = 5.0275 Å, b = 5.0275 Å, c = 23.6550 Å, α = 90.00°, β = 90.00° and γ = 120.00°. The asymmetric unit holds Dy at (0.0000, 0.0000, 0.0000), Cu at (0.0000, 0.0000, 0.3345), Cu at (0.0000, 0.0000, 0.5000), Cu at (0.0059, 0.5030, 0.9141) and Ge at (0.0000, 0.0000, 0.1447).

The energy of formation from the pure elements is -0.06 eV per atom. For the total energy, the calculation gives -4.28 eV/atom. The density of states at the Fermi level comes out at 20.04 states/eV per cell.

---

[2]
# Dy2Cu5Ge4

A relaxed Dy2Cu5Ge4 crystal (PBE, Alexandria via LeMat-Bulk).

It has space group Fmmm (No. 69), with a = 5.5424 Å, b = 9.3620 Å, c = 14.4940 Å, α = 90.00°, β = 90.00° and γ = 90.00°. The asymmetric unit holds Dy at (0.0000, 0.0000, 0.1442), Cu at (0.0000, 0.0000, 0.5000), Cu at (0.2500, 0.2500, 0.0000), Cu at (0.2500, 0.2500, 0.2500) and Ge at (0.0000, 0.1424, 0.3639).

The energy of formation from the pure elements is -0.27 eV per atom. For the total energy, the calculation gives -4.65 eV/atom. The density of states at the Fermi level comes out at 15.98 states/eV per cell.